# 1
Below is crystalline LaSc3 at its relaxed geometry, with properties calculated at the PBE level.

Unit cell a=3.2476 b=6.3473 c=6.3473 alpha=117.15 beta=80.18 gamma=80.18
With the nearest neighbours (Å) after each atom.
Fractional coordinates of all 4 atoms:
La  0.0000  0.0000  0.0000  2 La 3.25, 6 Sc 3.31
Sc  0.0000  0.5000  0.5000  6 Sc 3.25-3.31, 2 La 3.31
Sc  0.5000  0.5000  0.0000  6 Sc 3.25-3.31, 2 La 3.31
Sc  0.5000  0.0000  0.5000  6 Sc 3.25-3.31, 2 La 3.31

Results
DFT formation energy, kJ/mol of atoms: 18

---

# 2
Below is crystalline LaScSe2 at its relaxed geometry, with properties calculated at the PBE level.

Unit cell a=9.1720 b=9.1720 c=9.1720 alpha=24.81 beta=24.81 gamma=24.81
With the nearest neighbours (Å) after each atom.
Fractional coordinates of all 4 atoms:
La  0.0000  0.0000  0.0000  2 Se 2.94
Sc  0.5000  0.5000  0.5000  6 Se 2.72
Se  0.1105  0.1105  0.1105  3 Sc 2.72, 1 La 2.94
Se  0.8895  0.8895  0.8895  3 Sc 2.72, 1 La 2.94

---

# 3
Below is crystalline LaScSe2 at its relaxed geometry, with properties calculated at the PBE level.

Unit cell a=4.0377 b=4.0377 c=7.2378 alpha=73.70 beta=73.70 gamma=60.16
With the nearest neighbours (Å) after each atom.
Fractional coordinates of all 4 atoms:
Sc  0.2500  0.2500  0.2500  6 Se 2.76
La  0.7500  0.7500  0.7500  6 Se 3.04
Se  0.9888  0.9888  0.0337  3 Sc 2.76, 3 La 3.04
Se  0.5112  0.5112  0.4663  3 Sc 2.76, 3 La 3.04

---

# 4
Below is crystalline LaSc4Se6 at its relaxed geometry, with properties calculated at the PBE level.

Unit cell a=3.9382 b=6.6828 c=19.9801 alpha=90.00 beta=90.00 gamma=107.14
With the nearest neighbours (Å) after each atom.
Fractional coordinates of all 22 atoms:
Sc  0.4058  0.8115  0.3773  6 Se 2.72-2.74
La  0.6551  0.3102  0.2500  6 Se 2.97-3.04
Se  0.9572  0.9143  0.6588  3 Sc 2.73-2.74, 2 La 3.04
Se  0.7666  0.5333  0.4112  5 Sc 2.73-2.77
Se  0.0428  0.0857  0.1588  3 Sc 2.73-2.74, 2 La 3.04
Sc  0.1430  0.2859  0.4626  6 Se 2.73-2.79
Se  0.0428  0.0857  0.3412  3 Sc 2.73-2.74, 2 La 3.04
Se  0.5000  0.0000  0.5000  6 Sc 2.73-2.79
Se  0.5000  0.0000  0.0000  6 Sc 2.73-2.79
Se  0.6703  0.3407  0.7500  2 Sc 2.72, 2 La 2.97
Sc  0.5942  0.1885  0.6227  6 Se 2.72-2.74
Sc  0.8570  0.7141  0.5374  6 Se 2.73-2.79
Se  0.7666  0.5333  0.0888  5 Sc 2.73-2.77
La  0.3449  0.6898  0.7500  6 Se 2.97-3.04
Se  0.2334  0.4667  0.5888  5 Sc 2.73-2.77
Sc  0.8570  0.7141  0.9626  6 Se 2.73-2.79
Sc  0.4058  0.8115  0.1227  6 Se 2.72-2.74
Sc  0.1430  0.2859  0.0374  6 Se 2.73-2.79
Se  0.2334  0.4667  0.9112  5 Sc 2.73-2.77
Se  0.9572  0.9143  0.8412  3 Sc 2.73-2.74, 2 La 3.04
Se  0.3297  0.6593  0.2500  2 Sc 2.72, 2 La 2.97
Sc  0.5942  0.1885  0.8773  6 Se 2.72-2.74

---

# 5
Below is crystalline LaScSe2 at its relaxed geometry, with properties calculated at the PBE level.

Unit cell a=5.1132 b=5.1132 c=5.1132 alpha=60.00 beta=60.00 gamma=60.00
With the nearest neighbours (Å) after each atom.
Fractional coordinates of all 4 atoms:
Se  0.2500  0.2500  0.2500  4 La 3.13, 4 Se 3.13
Sc  0.7500  0.7500  0.7500  4 Se 3.13, 4 La 3.13
Se  0.0000  0.0000  0.0000  4 Sc 3.13, 4 Se 3.13
La  0.5000  0.5000  0.5000  4 Se 3.13, 4 Sc 3.13

---

# 6
Below is crystalline La2ScSe5 at its relaxed geometry, with properties calculated at the PBE level.

Unit cell a=5.7566 b=7.8733 c=12.8214 alpha=90.00 beta=90.00 gamma=111.44
With the nearest neighbours (Å) after each atom.
Fractional coordinates of all 16 atoms:
Se  0.6929  0.3858  0.9159  1 Sc 2.66, 2 La 2.95
Sc  0.1978  0.3956  0.2500  6 Se 2.66-2.90
Se  0.9570  0.9140  0.6353  1 Sc 2.70, 1 Se 2.94, 1 La 2.96
Se  0.9570  0.9140  0.8647  1 Sc 2.70, 1 Se 2.94, 1 La 2.96
La  0.1498  0.2997  0.5671  6 Se 2.95-3.03
Se  0.3071  0.6142  0.4159  1 Sc 2.66, 2 La 2.95
Sc  0.8022  0.6044  0.7500  6 Se 2.66-2.90
Se  0.2768  0.5535  0.7500  2 Sc 2.90, 2 La 2.99
La  0.8502  0.7003  0.4329  6 Se 2.95-3.03
Se  0.7232  0.4465  0.2500  2 Sc 2.90, 2 La 2.99
Se  0.0430  0.0860  0.3647  1 Sc 2.70, 1 Se 2.94, 1 La 2.96
Se  0.6929  0.3858  0.5841  1 Sc 2.66, 2 La 2.95
La  0.1498  0.2997  0.9329  6 Se 2.95-3.03
Se  0.0430  0.0860  0.1353  1 Sc 2.70, 1 Se 2.94, 1 La 2.96
La  0.8502  0.7003  0.0671  6 Se 2.95-3.03
Se  0.3071  0.6142  0.0841  1 Sc 2.66, 2 La 2.95

---

# 7
Below is crystalline LaSc3Se at its relaxed geometry, with properties calculated at the PBE level.

Unit cell a=5.2402 b=5.2402 c=5.2402 alpha=90.00 beta=90.00 gamma=90.00
With the nearest neighbours (Å) after each atom.
Fractional coordinates of all 5 atoms:
Sc  0.5000  0.0000  0.0000  2 La 2.62
Sc  0.0000  0.0000  0.5000  2 La 2.62
Sc  0.0000  0.5000  0.0000  2 La 2.62
La  0.0000  0.0000  0.0000  6 Sc 2.62
Se  0.5000  0.5000  0.5000  12 Sc 3.71

---

# 8
Below is crystalline La3ScSe at its relaxed geometry, with properties calculated at the PBE level.

Unit cell a=5.7030 b=5.7030 c=5.7030 alpha=90.00 beta=90.00 gamma=90.00
With the nearest neighbours (Å) after each atom.
Fractional coordinates of all 5 atoms:
La  0.0000  0.5000  0.0000  2 Se 2.85
Se  0.0000  0.0000  0.0000  6 La 2.85
La  0.5000  0.0000  0.0000  2 Se 2.85
Sc  0.5000  0.5000  0.5000  12 La 4.03
La  0.0000  0.0000  0.5000  2 Se 2.85

---

Number 1: DFT total energy -5.7954 eV/atom, calculated volume 110 Å³/cell. Number 2: DFT total energy -5.9055 eV/atom, calculated volume 120 Å³/cell. Number 3: DFT total energy -6.3367 eV/atom, calculated volume 97 Å³/cell. Number 4: DFT total energy -6.4031 eV/atom, calculated volume 502 Å³/cell. Number 5: DFT total energy -5.1262 eV/atom, calculated volume 95 Å³/cell. Number 6: DFT total energy -5.8479 eV/atom, calculated volume 541 Å³/cell. Number 7: DFT total energy -4.6127 eV/atom, calculated volume 144 Å³/cell. Number 8: DFT total energy -5.3749 eV/atom, calculated volume 185 Å³/cell.